(1)
Density functional theory data (PBE) for a geometry-optimized YZr2NiW structure.

density of states at the Fermi level: 8.2 states/eV/f.u.
formation energy from the elements: 2.217 eV per atom
magnetization: 0.00 μB/f.u.
calculated total energy: -6.24 eV/atom

Lattice parameters (Å, degrees): 5.128 4.718 5.128 90.00 90.00 90.00
Positions (direct):
Y: 0.000 0.000 0.000
Ni: 0.500 0.500 0.500
Zr: 0.000 0.000 0.500
Zr: 0.500 0.000 0.000
W: 0.000 0.500 0.000



(2)
Density functional theory data (PBE) for a geometry-optimized Tb3ScAl structure.

density of states at the Fermi level: 7.0 states/eV/f.u.
formation energy from the elements: 0.148 eV per atom
magnetization: 0.00 μB/f.u.
distance to the lowest polymorph of the same formula: 0.267 eV per atom
calculated total energy: -4.65 eV/atom

Lattice parameters (Å, degrees): 4.689 6.620 9.573 90.00 90.00 90.00
Positions (direct):
Tb: 0.750 0.750 0.068
Tb: 0.250 0.250 0.932
Tb: 0.750 0.993 0.744
Tb: 0.750 0.507 0.744
Tb: 0.250 0.007 0.256
Tb: 0.250 0.493 0.256
Sc: 0.750 0.750 0.433
Sc: 0.250 0.250 0.567
Al: 0.750 0.250 0.126
Al: 0.250 0.750 0.874